DFT (PBE) results for an optimized crystal structure of DyNbNO.

* distance to the lowest polymorph of the same formula: 158 meV per atom
* final energy: -68.70 eV for the cell shown
* total magnetic moment: 0.0 μB/cell

Cell: 3.453 5.990 5.811 Å, 90.00 90.00 90.00°
Fractional coordinates of all 8 atoms:
Dy  0.000  0.167  0.000
Dy  0.000  0.833  0.500
Nb  0.500  0.391  0.431
Nb  0.500  0.609  0.931
N  0.000  0.206  0.395
N  0.000  0.794  0.895
O  0.500  0.270  0.788
O  0.500  0.730  0.288